# 1
A relaxed CeSmScPb crystal. Source: Alexandria, functional PBE-GGA.

## Properties
space group = F-43m
formation energy from the elements = -0.060 eV/atom

abc: 5.354 5.354 5.354
angles: 60.00 60.00 60.00
Fractional positions:
Pb (0.750, 0.750, 0.750)
Ce (0.250, 0.250, 0.250)
Sc (0.000, 0.000, 0.000)
Sm (0.500, 0.500, 0.500)



# 2
A relaxed CeScSnPb crystal. Source: Alexandria, functional PBE-GGA.

## Properties
space group = F-43m
formation energy from the elements = -0.402 eV/atom

abc: 5.325 5.325 5.325
angles: 60.00 60.00 60.00
Fractional positions:
Pb (0.750, 0.750, 0.750)
Ce (0.000, 0.000, 0.000)
Sn (0.250, 0.250, 0.250)
Sc (0.500, 0.500, 0.500)



# 3
A relaxed CeThScPb crystal. Source: Alexandria, functional PBE-GGA.

## Properties
space group = F-43m
formation energy from the elements = -0.032 eV/atom

abc: 5.383 5.383 5.383
angles: 60.00 60.00 60.00
Fractional positions:
Th (0.500, 0.500, 0.500)
Ce (0.250, 0.250, 0.250)
Sc (0.750, 0.750, 0.750)
Pb (0.000, 0.000, 0.000)